Pm6InPt2: optimized geometry, PBE-GGA.

a = 8.812 Å, b = 8.812 Å, c = 8.812 Å
α = 104.12°, β = 110.45°, γ = 114.00°
Atoms (fractional coordinates):
Pm: 0.526 0.708 0.817
Pm: 0.474 0.292 0.183
Pm: 0.109 0.292 0.817
Pm: 0.891 0.708 0.183
Pm: 0.801 0.765 0.566
Pm: 0.199 0.235 0.434
Pm: 0.199 0.765 0.964
Pm: 0.801 0.235 0.036
Pm: 0.695 0.367 0.672
Pm: 0.305 0.633 0.328
Pm: 0.305 0.977 0.672
Pm: 0.695 0.023 0.328
In: 0.000 0.500 0.500
In: 0.000 0.000 0.000
Pt: 0.500 0.369 0.869
Pt: 0.500 0.631 0.131
Pt: 0.657 0.000 0.657
Pt: 0.343 0.000 0.343

## Properties
Mass density: 8.7 g cm⁻³
Uncorrected energy: -5.4748 eV per atom
Total magnetization: 0.00 μB per cell
E_form: -5.9 eV per formula unit